# Tb6YTm8 | Alexandria via LeMat-Bulk | PBE-GGA | relaxed
# Calculated formation energy in eV/atom: 0.24
# Polymorph energy (0 for the lowest one) in meV per atom: 109
# DOS(E_F) in states/eV per atom: 1.48
# Size of the total moment in μB/f.u.: 0.0
data_Tb6YTm8
_chemical_formula_sum 'Tb6 Y1 Tm8'
_cell_length_a 9.3582
_cell_length_b 9.3582
_cell_length_c 6.4260
_cell_angle_alpha 90.00
_cell_angle_beta 90.00
_cell_angle_gamma 120.00
_space_group_name_H-M_alt 'P -3'
_space_group_IT_number 147
loop_
_space_group_symop_operation_xyz
'x,y,z'
'-x,-y,-z'
'-y,x-y,z'
'y,-x+y,-z'
'-x+y,-x,z'
'x-y,x,-z'
loop_
_atom_site_label
_atom_site_type_symbol
_atom_site_fract_x
_atom_site_fract_y
_atom_site_fract_z
Tb1 Tb 0.0979 0.4165 0.4109
Y1 Y 0.0000 0.0000 0.5000
Tm1 Tm 0.0233 0.6875 0.0950
Tm2 Tm 0.3333 0.6667 0.8451


# Tb6YTm8 | Alexandria via LeMat-Bulk | PBE-GGA | relaxed
# Calculated formation energy in eV/atom: 0.13
# Polymorph energy (0 for the lowest one) in meV per atom: 0
# DOS(E_F) in states/eV per atom: 1.48
# Size of the total moment in μB/f.u.: 0.0
data_Tb6YTm8
_chemical_formula_sum 'Tb18 Y3 Tm24'
_cell_length_a 8.9620
_cell_length_b 8.9620
_cell_length_c 20.4817
_cell_angle_alpha 90.00
_cell_angle_beta 90.00
_cell_angle_gamma 120.00
_space_group_name_H-M_alt 'R -3'
_space_group_IT_number 148
_space_group_name_Hall '-R 3'
loop_
_atom_site_label
_atom_site_type_symbol
_atom_site_fract_x
_atom_site_fract_y
_atom_site_fract_z
Tb1 Tb 0.0691 0.8205 0.2088
Y1 Y 0.0000 0.0000 0.5000
Tm1 Tm 0.0000 0.0000 0.0763
Tm2 Tm 0.0813 0.5303 0.3091


# Tb8Y3Tm2 | Alexandria via LeMat-Bulk | PBE-GGA | relaxed
# Calculated formation energy in eV/atom: 0.23
# DOS(E_F) in states/eV per atom: 1.54
# Size of the total moment in μB/f.u.: 0.0
data_Tb8Y3Tm2
_chemical_formula_sum 'Tb16 Y6 Tm4'
_cell_length_a 7.654
_cell_length_b 20.048
_cell_length_c 5.630
_cell_angle_alpha 90.00
_cell_angle_beta 90.00
_cell_angle_gamma 90.00
_space_group_name_H-M_alt 'C m m m'
_space_group_IT_number 65
_space_group_name_Hall '-C 2 2'
loop_
_atom_site_label
_atom_site_type_symbol
_atom_site_fract_x
_atom_site_fract_y
_atom_site_fract_z
Tb1 Tb 0.000 0.134 0.000
Tb2 Tb 0.000 0.330 0.000
Tb3 Tb 0.209 0.391 0.500
Y1 Y 0.000 0.000 0.500
Y2 Y 0.215 0.500 0.000
Tm1 Tm 0.000 0.241 0.500


# Tb12YTm3 | Alexandria via LeMat-Bulk | PBE-GGA | relaxed
# Calculated formation energy in eV/atom: 0.02
# DOS(E_F) in states/eV per atom: 1.34
# Size of the total moment in μB/f.u.: 0.0
data_Tb12YTm3
_chemical_formula_sum 'Tb12 Y1 Tm3'
_cell_length_a 5.018
_cell_length_b 5.018
_cell_length_c 20.069
_cell_angle_alpha 90.00
_cell_angle_beta 90.00
_cell_angle_gamma 90.00
_space_group_name_H-M_alt 'P 4/m m m'
_space_group_IT_number 123
_space_group_name_Hall '-P 4 2'
loop_
_atom_site_label
_atom_site_type_symbol
_atom_site_fract_x
_atom_site_fract_y
_atom_site_fract_z
Tb1 Tb 0.000 0.000 0.000
Tb2 Tb 0.000 0.000 0.249
Tb3 Tb 0.000 0.000 0.500
Tb4 Tb 0.000 0.500 0.125
Tb5 Tb 0.000 0.500 0.374
Y1 Y 0.500 0.500 0.500
Tm1 Tm 0.500 0.500 0.000
Tm2 Tm 0.500 0.500 0.249